This record from Alexandria describes an optimized crystal structure of RbRuSeN2. The functional is PBE.

Lattice parameters (Å, degrees): 4.057 4.057 6.206 90.00 90.00 90.00
Space group P4/mmm (No. 123)
Symmetry-distinct sites (fractional):
Rb: 0.000 0.000 0.000 [1 per cell]
Ru: 0.500 0.500 0.500 [1 per cell]
Se: 0.000 0.000 0.500 [1 per cell]
N: 0.000 0.500 0.000 [2 per cell]

Values from the calculation:
Excess energy over the best structure of this formula in the dataset = 2398 meV per atom
Total magnetic moment = 0.00 μB/atom

***

This record from Alexandria describes an optimized crystal structure of Ni2Ir6Ru3. The functional is PBE.

Lattice parameters (Å, degrees): 4.685 6.000 6.012 107.18 104.99 97.39
Space group P-1 (No. 2)
Symmetry-distinct sites (fractional):
Ni: 0.232 0.048 0.413 [2 per cell]
Ir: 0.045 0.408 0.684 [2 per cell]
Ir: 0.137 0.226 0.050 [2 per cell]
Ir: 0.317 0.866 0.767 [2 per cell]
Ru: 0.412 0.683 0.132 [2 per cell]
Ru: 0.500 0.500 0.500 [1 per cell]

Values from the calculation:
E_form = 0.01 eV per atom
Total magnetic moment = 0.00 μB/atom

***

This record from Alexandria describes an optimized crystal structure of Tb2PrAu. The functional is PBE.

Lattice parameters (Å, degrees): 4.976 12.168 7.828 90.00 90.00 90.00
Space group Cmcm (No. 63)
Symmetry-distinct sites (fractional):
Tb: 0.000 0.145 0.035 [8 per cell]
Pr: 0.000 0.451 0.250 [4 per cell]
Au: 0.000 0.296 0.750 [4 per cell]

Values from the calculation:
Excess energy over the best structure of this formula in the dataset = 15 meV per atom
E_form = -0.40 eV per atom
Total magnetic moment = 0.00 μB/atom

***

This record from Alexandria describes an optimized crystal structure of HfAlZn11. The functional is PBE.

Lattice parameters (Å, degrees): 5.243 12.331 6.655 90.00 112.59 90.00
Space group C2/m (No. 12)
Symmetry-distinct sites (fractional):
Hf: 0.000 0.000 0.000 [2 per cell]
Al: 0.000 0.000 0.500 [2 per cell]
Zn: 0.000 0.500 0.500 [2 per cell]
Zn: 0.102 0.394 0.209 [8 per cell]
Zn: 0.175 0.176 0.350 [8 per cell]
Zn: 0.250 0.250 0.000 [4 per cell]

Values from the calculation:
E_form = -0.05 eV per atom
Total magnetic moment = 0.00 μB/atom

***

This record from Alexandria describes an optimized crystal structure of CuHg2Te. The functional is PBE.

Lattice parameters (Å, degrees): 3.199 3.199 9.645 90.00 90.00 90.00
Space group P4mm (No. 99)
Symmetry-distinct sites (fractional):
Cu: 0.000 0.000 0.000 [1 per cell]
Hg: 0.000 0.000 0.472 [1 per cell]
Hg: 0.500 0.500 0.189 [1 per cell]
Te: 0.500 0.500 0.814 [1 per cell]

Values from the calculation:
E_tot = -7.1 eV for the cell shown
Total magnetic moment = 0.00 μB/atom

***

This record from Alexandria describes an optimized crystal structure of NdAs2RuRh5. The functional is PBE.

Lattice parameters (Å, degrees): 3.977 3.977 11.003 90.00 90.00 90.00
Space group P4/mmm (No. 123)
Symmetry-distinct sites (fractional):
Nd: 0.000 0.000 0.000 [1 per cell]
As: 0.500 0.500 0.217 [2 per cell]
Ru: 0.500 0.500 0.500 [1 per cell]
Rh: 0.000 0.500 0.354 [4 per cell]
Rh: 0.500 0.500 0.000 [1 per cell]

Values from the calculation:
E_form = -0.07 eV per atom
Total magnetic moment = 0.00 μB/atom

***

This record from Alexandria describes an optimized crystal structure of Dy8Ge2C3. The functional is PBE.

Lattice parameters (Å, degrees): 14.253 7.264 6.386 90.00 107.94 90.00
Space group C2/m (No. 12)
Symmetry-distinct sites (fractional):
Dy: 0.099 0.000 0.404 [4 per cell]
Dy: 0.100 0.239 0.896 [8 per cell]
Dy: 0.106 0.500 0.433 [4 per cell]
Ge: 0.245 0.500 0.175 [4 per cell]
C: 0.000 0.000 0.000 [2 per cell]
C: 0.000 0.257 0.500 [4 per cell]

Values from the calculation:
E_form = -0.39 eV per atom
Total magnetic moment = 0.00 μB/atom

***

This record from Alexandria describes an optimized crystal structure of Cs2CoPb2. The functional is PBE.

Lattice parameters (Å, degrees): 7.226 7.226 6.773 90.00 90.00 90.00
Space group P4/mbm (No. 127)
Symmetry-distinct sites (fractional):
Cs: 0.175 0.325 0.000 [4 per cell]
Co: 0.000 0.000 0.500 [2 per cell]
Pb: 0.181 0.681 0.500 [4 per cell]

Values from the calculation:
E_form = 0.34 eV per atom
Total magnetic moment = 0.00 μB/atom

***

This record from Alexandria describes an optimized crystal structure of Ac6TmIn5. The functional is PBE.

Lattice parameters (Å, degrees): 5.521 8.991 8.939 90.00 108.05 90.00
Space group P2/m (No. 10)
Symmetry-distinct sites (fractional):
Ac: 0.000 0.228 0.000 [2 per cell]
Ac: 0.327 0.252 0.656 [4 per cell]
Tm: 0.500 0.500 0.000 [1 per cell]
In: 0.144 0.500 0.287 [2 per cell]
In: 0.174 0.000 0.344 [2 per cell]
In: 0.500 0.000 0.000 [1 per cell]

Values from the calculation:
E_form = -0.32 eV per atom
Total magnetic moment = 0.00 μB/atom

***

This record from Alexandria describes an optimized crystal structure of CaPW. The functional is PBE.

Lattice parameters (Å, degrees): 3.926 3.926 14.914 90.00 90.00 90.00
Space group I4/mmm (No. 139)
Symmetry-distinct sites (fractional):
Ca: 0.000 0.000 0.171 [4 per cell]
P: 0.000 0.000 0.386 [4 per cell]
W: 0.000 0.500 0.000 [4 per cell]

Values from the calculation:
Excess energy over the best structure of this formula in the dataset = 0 meV per atom
E_form = -0.46 eV per atom
Total magnetic moment = 0.00 μB/atom

***

This record from Alexandria describes an optimized crystal structure of AcLa4Sm2. The functional is PBE.

Lattice parameters (Å, degrees): 7.110 12.041 12.324 90.00 90.00 90.00
Space group Imma (No. 74)
Symmetry-distinct sites (fractional):
Ac: 0.000 0.000 0.000 [4 per cell]
La: 0.000 0.003 0.353 [8 per cell]
La: 0.214 0.250 0.507 [8 per cell]
Sm: 0.000 0.250 0.779 [4 per cell]
Sm: 0.250 0.250 0.250 [4 per cell]

Values from the calculation:
Excess energy over the best structure of this formula in the dataset = 89 meV per atom
E_form = 0.18 eV per atom
Total magnetic moment = 0.00 μB/atom

***

This record from Alexandria describes an optimized crystal structure of CeUTeN2. The functional is PBE.

Lattice parameters (Å, degrees): 3.934 3.934 12.817 90.00 90.00 90.00
Space group I4mm (No. 107)
Symmetry-distinct sites (fractional):
Ce: 0.000 0.000 0.000 [2 per cell]
U: 0.000 0.000 0.322 [2 per cell]
Te: 0.000 0.000 0.662 [2 per cell]
N: 0.000 0.500 0.400 [4 per cell]

Values from the calculation:
E_tot = -88.9 eV for the cell shown
Total magnetic moment = 0.40 μB/atom

***

This record from Alexandria describes an optimized crystal structure of Li2SnGeBr6. The functional is PBE.

Lattice parameters (Å, degrees): 7.2449 7.2449 19.8400 90.00 90.00 120.00
Space group R3 (No. 146, hexagonal axes)
Symmetry-distinct sites (fractional):
Li: 0.0000 0.0000 0.0000 [3 per cell]
Li: 0.0000 0.0000 0.4866 [3 per cell]
Sn: 0.0000 0.0000 0.1790 [3 per cell]
Ge: 0.0000 0.0000 0.6687 [3 per cell]
Br: 0.0116 0.3823 0.7572 [9 per cell]
Br: 0.0143 0.6101 0.2590 [9 per cell]

Values from the calculation:
E_tot = -97.3 eV for the cell shown
Total magnetic moment = 0.00 μB/atom